[1]
This record from Alexandria via LeMat-Bulk describes SbBr2 after structural relaxation. The functional is GGA-PBEsol. Values from VASP.

Calculated values
E above lowest polymorph = 0 meV/atom
formation energy (no corrections) = -0.437 eV per atom
space-group type = C2/m (12)
volume = 32.6 Å³ per atom
total energy = -3.202 eV/atom

Geometry as Quantum ESPRESSO input:
```
&SYSTEM
  ibrav = 0, nat = 6, ntyp = 2
/
ATOMIC_SPECIES
Br 79.90 Br.upf
Sb 121.76 Sb.upf
CELL_PARAMETERS angstrom
3.9627 0.0000 0.0000
0.0000 7.1808 0.1920
-1.9814 -2.3939 6.8153
ATOMIC_POSITIONS crystal
Br 0.1718 0.2628 0.3436
Br 0.8939 0.2412 0.7877
Br 0.8282 0.7372 0.6564
Sb 0.5303 0.2282 0.0606
Sb 0.4697 0.7718 0.9394
Br 0.1061 0.7588 0.2123
```

***

[2]
This record from Alexandria via LeMat-Bulk describes Sb3Br after structural relaxation. The functional is GGA-PBEsol. Values from VASP.

Calculated values
E above lowest polymorph = 95 meV/atom
formation energy (no corrections) = 0.098 eV per atom
space-group type = Immm (71)
volume = 26.8 Å³ per atom
total energy = -3.787 eV/atom

Geometry as Quantum ESPRESSO input:
```
&SYSTEM
  ibrav = 0, nat = 4, ntyp = 2
/
ATOMIC_SPECIES
Br 79.90 Br.upf
Sb 121.76 Sb.upf
CELL_PARAMETERS angstrom
3.8047 0.0000 0.0000
0.0000 4.9518 0.0000
-1.9023 -2.4759 5.6871
ATOMIC_POSITIONS crystal
Br 0.0000 0.0000 0.0000
Sb 0.2151 0.7151 0.4301
Sb 0.7849 0.2849 0.5699
Sb 0.5000 0.5000 0.0000
```

***

[3]
This record from Alexandria via LeMat-Bulk describes Sb3Br after structural relaxation. The functional is GGA-PBEsol. Values from VASP.

Calculated values
E above lowest polymorph = 98 meV/atom
formation energy (no corrections) = 0.102 eV per atom
space-group type = P-6m2 (187)
volume = 25.7 Å³ per atom
total energy = -3.784 eV/atom

Geometry as Quantum ESPRESSO input:
```
&SYSTEM
  ibrav = 0, nat = 4, ntyp = 2
/
ATOMIC_SPECIES
Br 79.90 Br.upf
Sb 121.76 Sb.upf
CELL_PARAMETERS angstrom
-1.3876 -0.8675 3.0088
-1.4929 -0.9836 -2.9215
5.4618 -8.4958 0.0693
ATOMIC_POSITIONS crystal
Br 0.0000 0.0000 0.0000
Sb 0.0000 0.0000 0.5000
Sb 0.3333 0.6667 0.7538
Sb 0.3333 0.6667 0.2462
```